Entry from Alexandria: crystalline Pr2AlGa3Rh4 at its relaxed geometry (PBE).

Cell: 4.310 4.310 10.163 Å, 90.00 90.00 90.00°
Positions (direct):
Pr 0.500 0.000 0.239
Pr 0.000 0.500 0.761
Al 0.500 0.500 0.500
Ga 0.000 0.000 0.500
Ga 0.500 0.000 0.874
Ga 0.000 0.500 0.126
Rh 0.500 0.500 0.000
Rh 0.000 0.000 0.000
Rh 0.500 0.000 0.627
Rh 0.000 0.500 0.373

Summary:
Formation energy = -8.21 eV per formula unit
Crystal system = tetragonal
Space-group type = P-4m2, No. 115



Entry from Alexandria: crystalline Y2Zn5PdRu2 at its relaxed geometry (PBE).

Cell: 3.561 9.924 9.924 Å, 90.00 90.00 90.00°
Positions (direct):
Y 0.000 0.676 0.176
Y 0.000 0.324 0.824
Y 0.000 0.176 0.324
Y 0.000 0.824 0.676
Zn 0.500 0.191 0.055
Zn 0.500 0.809 0.945
Zn 0.500 0.055 0.809
Zn 0.500 0.691 0.445
Zn 0.500 0.945 0.191
Zn 0.500 0.309 0.555
Zn 0.500 0.555 0.691
Zn 0.500 0.445 0.309
Zn 0.500 0.500 0.000
Zn 0.500 0.000 0.500
Pd 0.000 0.000 0.000
Pd 0.000 0.500 0.500
Ru 0.000 0.131 0.631
Ru 0.000 0.869 0.369
Ru 0.000 0.631 0.869
Ru 0.000 0.369 0.131

Summary:
Formation energy = -2.73 eV per formula unit
Crystal system = tetragonal
Space-group type = P4/mbm, No. 127